(1)
A plane-wave DFT calculation with PBE was carried out for a geometry-optimized Zn5HgPd6 structure.

Computed properties:
E_form = -480 meV/atom
Spin magnetization = 0.00 μB/f.u.
Density = 10.70 g/cm3
VASP energy = -43.59 eV for the cell shown

abc: 7.404 7.404 7.404
angles: 147.38 123.04 67.20
Fractional positions:
Zn  0.000  0.000  0.000
Zn  0.173  0.673  0.500
Zn  0.337  0.337  0.000
Zn  0.663  0.663  0.000
Zn  0.827  0.327  0.500
Hg  0.500  0.000  0.500
Pd  0.065  0.830  0.236
Pd  0.227  0.500  0.727
Pd  0.406  0.170  0.236
Pd  0.594  0.830  0.764
Pd  0.773  0.500  0.273
Pd  0.935  0.170  0.764



(2)
A plane-wave DFT calculation with PBE was carried out for a geometry-optimized Np4Pd15Pb structure.

Computed properties:
E_form = -410 meV/atom
Spin magnetization = 13.69 μB/f.u.
Density = 12.88 g/cm3
VASP energy = -141.55 eV for the cell shown

abc: 4.145 4.145 20.644
angles: 90.00 90.00 90.00
Fractional positions:
Np  0.000  0.000  0.100
Np  0.000  0.000  0.301
Np  0.000  0.000  0.699
Np  0.000  0.000  0.900
Pd  0.000  0.500  0.000
Pd  0.000  0.500  0.201
Pd  0.000  0.500  0.399
Pd  0.000  0.500  0.601
Pd  0.000  0.500  0.799
Pd  0.500  0.000  0.000
Pd  0.500  0.000  0.201
Pd  0.500  0.000  0.399
Pd  0.500  0.000  0.601
Pd  0.500  0.000  0.799
Pd  0.500  0.500  0.100
Pd  0.500  0.500  0.301
Pd  0.500  0.500  0.500
Pd  0.500  0.500  0.699
Pd  0.500  0.500  0.900
Pb  0.000  0.000  0.500



(3)
A plane-wave DFT calculation with PBE was carried out for a geometry-optimized Tl2Cd5Pd12 structure.

Computed properties:
E_form = -236 meV/atom
Spin magnetization = 0.00 μB/f.u.
Density = 11.03 g/cm3
VASP energy = -76.10 eV for the cell shown

abc: 7.792 7.792 6.179
angles: 93.06 93.06 64.72
Fractional positions:
Tl  0.224  0.776  0.000
Tl  0.776  0.224  0.000
Cd  0.000  0.000  0.500
Cd  0.242  0.242  0.510
Cd  0.337  0.337  0.086
Cd  0.663  0.663  0.914
Cd  0.758  0.758  0.490
Pd  0.048  0.555  0.800
Pd  0.142  0.142  0.884
Pd  0.171  0.624  0.403
Pd  0.376  0.829  0.597
Pd  0.445  0.952  0.200
Pd  0.454  0.454  0.718
Pd  0.546  0.546  0.282
Pd  0.555  0.048  0.800
Pd  0.624  0.171  0.403
Pd  0.829  0.376  0.597
Pd  0.858  0.858  0.116
Pd  0.952  0.445  0.200



Which of these has the highest spin magnetization? Np4Pd15Pb